Below is a relaxed structure of ZrMn2CuF, with properties calculated at the PBE+U level.

Final energy: -0.4409 Ry per atom
N(E_F): 0.61 states/eV/atom
Size of the total moment: 8.38 Bohr magnetons per cell
Crystal system: tetragonal

Unit cell a=4.3930 b=4.4601 c=4.3930 alpha=90.00 beta=90.00 gamma=90.00
Each line ends with the local moment (μB).
Fractional coordinates of all 5 atoms:
Mn 0.0000 0.0000 0.5000  4.42
Mn 0.5000 0.0000 0.0000  4.49
Cu 0.5000 0.5000 0.5000  0.02
Zr 0.0000 0.5000 0.0000  -0.64
F 0.0000 0.0000 0.0000  0.08